# Pu3AsP (GGA-PBE, optimized geometry)
data_Pu3AsP
_chemical_formula_sum 'Pu6 As2 P2'
_symmetry_space_group_name_H-M 'P 1'
_symmetry_Int_Tables_number 1
_cell_length_a 4.136
_cell_length_b 6.213
_cell_length_c 9.305
_cell_angle_alpha 90.00
_cell_angle_beta 90.00
_cell_angle_gamma 90.00
loop_
_symmetry_equiv_pos_as_xyz
'x,y,z'
loop_
_atom_site_label
_atom_site_type_symbol
_atom_site_fract_x
_atom_site_fract_y
_atom_site_fract_z
Pu1 Pu 0.250 0.021 0.173
Pu2 Pu 0.250 0.250 0.586
Pu3 Pu 0.250 0.479 0.173
Pu4 Pu 0.750 0.521 0.827
Pu5 Pu 0.750 0.750 0.414
Pu6 Pu 0.750 0.979 0.827
As1 As 0.250 0.750 0.636
As2 As 0.750 0.250 0.364
P1 P 0.250 0.250 0.909
P2 P 0.750 0.750 0.091
# Space group: Pmmn (59)
# DFT total energy (eV per atom): -11.38